First-principles (PBE+U) data for RbCrN2F after structural relaxation, as listed in Alexandria via LeMat-Bulk.

The structure in extended XYZ format:
```
5
Lattice="5.3418 0.0000 0.0000 0.0000 5.3418 0.0000 0.0000 0.0000 4.9302" Properties=species:S:1:pos:R:3 pbc="T T T"
Rb 0.0000 0.0000 0.0000
Cr 2.6709 2.6709 2.4651
N 0.0000 2.6709 0.0000
N 2.6709 0.0000 0.0000
F 0.0000 0.0000 2.4651
```

Results
distance to the lowest polymorph of the same formula = 1.7486 eV per atom
crystal system = tetragonal
volume = 28.14 Å³ per atom
space-group type = No. 123